[1]
Hf2Rh2W: relaxed, GGA-PBE.

Summary:
Its volume is 17.6 A^3/atom. Its formation energy from the elements is -1.6 eV per formula unit.

Cell: 7.4173 7.4173 3.2003 Å, 90.00 90.00 90.00°
Last column: nearest neighbours and their distance in Å.
Sites, in units of the cell vectors:
Hf 0.1707 0.3293 0.0000  6 Rh 2.63-2.76
Hf 0.3293 0.8293 0.0000  6 Rh 2.63-2.76
Hf 0.6707 0.1707 0.0000  6 Rh 2.63-2.76
Hf 0.8293 0.6707 0.0000  6 Rh 2.63-2.76
Rh 0.1306 0.6306 0.5000  6 Hf 2.63-2.76, 1 Rh 2.74, 2 W 2.91
Rh 0.3694 0.1306 0.5000  6 Hf 2.63-2.76, 1 Rh 2.74, 2 W 2.91
Rh 0.6306 0.8694 0.5000  6 Hf 2.63-2.76, 1 Rh 2.74, 2 W 2.91
Rh 0.8694 0.3694 0.5000  6 Hf 2.63-2.76, 1 Rh 2.74, 2 W 2.91
W 0.0000 0.0000 0.5000  4 Rh 2.91, 8 Hf 3.18, 2 W 3.20
W 0.5000 0.5000 0.5000  4 Rh 2.91, 8 Hf 3.18, 2 W 3.20



[2]
MnNiAu: relaxed, GGA-PBE.

Summary:
Its volume is 14.3 A^3/atom. Its formation energy from the elements is -0.1 eV per formula unit. The value obtained for the relative energy among the computed polymorphs is 17 meV per atom.

Cell: 4.8994 4.8994 4.8994 Å, 145.39 139.73 54.12°
Last column: nearest neighbours and their distance in Å.
Sites, in units of the cell vectors:
Mn 0.0000 0.0000 0.0000  4 Ni 2.53, 5 Au 2.74-2.77
Ni 0.6380 0.6380 0.0000  4 Mn 2.53, 5 Au 2.72-2.80
Au 0.3176 0.3176 0.0000  5 Ni 2.72-2.80, 5 Mn 2.74-2.77, 2 Au 2.91



[3]
NiOs3W: relaxed, GGA-PBE.

Summary:
Its volume is 16.4 A^3/atom. Its formation energy from the elements is 9.3 eV per formula unit. The value obtained for the relative energy among the computed polymorphs is 0 meV per atom.

Cell: 4.3468 4.3468 4.3468 Å, 90.00 90.00 90.00°
Last column: nearest neighbours and their distance in Å.
Sites, in units of the cell vectors:
Ni 0.0000 0.0000 0.0000  6 Os 2.17
Os 0.0000 0.0000 0.5000  2 Ni 2.17
Os 0.0000 0.5000 0.0000  2 Ni 2.17
Os 0.5000 0.0000 0.0000  2 Ni 2.17
W 0.5000 0.5000 0.5000  12 Os 3.07



[4]
La2Pr4Nd2Y: relaxed, GGA-PBE.

Summary:
Its volume is 35.9 A^3/atom. Its formation energy from the elements is 0.1 eV per formula unit.

Cell: 9.8513 9.8513 9.9301 Å, 115.09 115.09 21.84°
Last column: nearest neighbours and their distance in Å.
Sites, in units of the cell vectors:
La 0.1657 0.1657 0.4992  3 Pr 3.66-3.68, 3 Nd 3.66-3.69, 2 Y 3.71, 4 La 3.73-3.75
La 0.8343 0.8343 0.5008  3 Pr 3.66-3.68, 3 Nd 3.66-3.69, 2 Y 3.71, 4 La 3.73-3.75
Pr 0.0184 0.0184 0.8315  1 La 3.66, 2 Y 3.67, 4 Nd 3.70-3.72, 5 Pr 3.71-3.73
Pr 0.3149 0.3149 0.1674  2 La 3.68, 1 Y 3.68, 6 Pr 3.69-3.73, 3 Nd 3.70-3.73
Pr 0.6851 0.6851 0.8326  2 La 3.68, 1 Y 3.68, 6 Pr 3.69-3.73, 3 Nd 3.70-3.73
Pr 0.9816 0.9816 0.1685  1 La 3.66, 2 Y 3.67, 4 Nd 3.70-3.72, 5 Pr 3.71-3.73
Nd 0.3520 0.3520 0.8316  3 La 3.66-3.69, 7 Pr 3.70-3.73, 2 Nd 3.73
Nd 0.6480 0.6480 0.1684  3 La 3.66-3.69, 7 Pr 3.70-3.73, 2 Nd 3.73
Y 0.5000 0.5000 0.5000  6 Pr 3.67-3.68, 4 La 3.71, 2 Y 3.73



[5]
YBe3Nb: relaxed, GGA-PBE.

Summary:
Its volume is 17.5 A^3/atom. Its formation energy from the elements is 9.6 eV per formula unit. The value obtained for the relative energy among the computed polymorphs is 1194 meV per atom.

Cell: 4.4429 4.4429 4.4429 Å, 90.00 90.00 90.00°
Last column: nearest neighbours and their distance in Å.
Sites, in units of the cell vectors:
Y 0.0000 0.0000 0.0000  6 Be 2.22
Be 0.0000 0.0000 0.5000  2 Y 2.22
Be 0.0000 0.5000 0.0000  2 Y 2.22
Be 0.5000 0.0000 0.0000  2 Y 2.22
Nb 0.5000 0.5000 0.5000  12 Be 3.14



[6]
NaTm2SnO5: relaxed, GGA-PBE.

Summary:
Its volume is 15.1 A^3/atom. The formation energy (no corrections) is -2436 meV per atom.

Cell: 6.8164 6.8164 6.8164 Å, 145.53 130.11 62.05°
Last column: nearest neighbours and their distance in Å.
Sites, in units of the cell vectors:
Na 0.0000 0.0000 0.0000  10 O 2.87-3.16
Tm 0.2852 0.7852 0.5000  2 O 2.13
Tm 0.7148 0.2148 0.5000  2 O 2.13
Sn 0.5000 0.5000 0.0000  2 O 2.02
O 0.1098 0.3400 0.7699  1 Tm 2.13, 1 Sn 2.29
O 0.4299 0.6600 0.7699  1 Tm 2.13, 1 Sn 2.29
O 0.5000 0.0000 0.5000  2 Sn 2.02
O 0.5701 0.3400 0.2301  1 Tm 2.13, 1 Sn 2.29
O 0.8902 0.6600 0.2301  1 Tm 2.13, 1 Sn 2.29



[7]
CoTcRu2: relaxed, GGA-PBE.

Summary:
Its volume is 13.3 A^3/atom. Its formation energy from the elements is 0.4 eV per formula unit. The value obtained for the relative energy among the computed polymorphs is 14 meV per atom.

Cell: 2.6679 3.7487 5.3107 Å, 90.00 90.00 90.00°
Last column: nearest neighbours and their distance in Å.
Sites, in units of the cell vectors:
Co 0.0000 0.0000 0.0000  4 Tc 2.61, 6 Ru 2.63-2.67, 2 Co 2.67
Tc 0.5000 0.5000 0.7660  6 Ru 2.52-2.79, 4 Co 2.61, 2 Tc 2.67
Ru 0.0000 0.0000 0.4973  2 Co 2.64-2.67, 6 Ru 2.67-2.68, 4 Tc 2.71
Ru 0.5000 0.5000 0.2401  2 Tc 2.52-2.79, 4 Co 2.63, 6 Ru 2.67-2.68



[8]
ReSbP2: relaxed, GGA-PBE.

Summary:
Its volume is 18.1 A^3/atom. The formation energy (no corrections) is 230 meV per atom.

Cell: 4.1428 4.1428 6.0621 Å, 95.45 95.45 44.35°
Last column: nearest neighbours and their distance in Å.
Sites, in units of the cell vectors:
Re 0.0000 0.0000 0.0000  6 P 2.45-2.49
Sb 0.5000 0.5000 0.5000  2 P 2.74
P 0.2812 0.2812 0.8289  3 Re 2.45-2.49, 2 P 2.68, 1 Sb 2.74
P 0.7188 0.7188 0.1711  3 Re 2.45-2.49, 2 P 2.68, 1 Sb 2.74



[9]
AcNd2MgTl4: relaxed, GGA-PBE.

Summary:
Its volume is 30.7 A^3/atom. Its formation energy from the elements is -2.5 eV per formula unit.

Cell: 10.4434 10.4434 10.4434 Å, 29.56 29.56 29.56°
Last column: nearest neighbours and their distance in Å.
Sites, in units of the cell vectors:
Ac 0.0000 0.0000 0.0000  8 Tl 3.47-3.75
Nd 0.2339 0.2339 0.2339  7 Tl 3.17-3.37
Nd 0.7661 0.7661 0.7661  7 Tl 3.17-3.37
Mg 0.5000 0.5000 0.5000  8 Tl 3.32-3.39, 6 Nd 3.68
Tl 0.1253 0.1253 0.1253  4 Nd 3.17-3.25, 3 Mg 3.32
Tl 0.3867 0.3867 0.3867  3 Nd 3.37, 1 Mg 3.39, 3 Ac 3.47, 3 Tl 3.76
Tl 0.6133 0.6133 0.6133  3 Nd 3.37, 1 Mg 3.39, 3 Ac 3.47, 3 Tl 3.76
Tl 0.8747 0.8747 0.8747  4 Nd 3.17-3.25, 3 Mg 3.32



[10]
GaFeI3: relaxed, GGA-PBE.

Summary:
Its volume is 35.2 A^3/atom. The formation energy (no corrections) is 567 meV per atom.

Cell: 5.6034 5.6034 5.6034 Å, 90.00 90.00 90.00°
Last column: nearest neighbours and their distance in Å.
Sites, in units of the cell vectors:
Ga 0.0000 0.0000 0.0000  6 I 2.80
Fe 0.5000 0.5000 0.5000  12 I 3.96
I 0.0000 0.0000 0.5000  2 Ga 2.80
I 0.0000 0.5000 0.0000  2 Ga 2.80
I 0.5000 0.0000 0.0000  2 Ga 2.80



[11]
Rb2PO3F: relaxed, GGA-PBE.

Summary:
Its volume is 19.2 A^3/atom. The formation energy (no corrections) is -2401 meV per atom.

Cell: 8.0637 6.2313 10.6823 Å, 90.00 90.00 90.00°
Last column: nearest neighbours and their distance in Å.
Sites, in units of the cell vectors:
Rb 0.0080 0.2500 0.2182  6 O 2.88-3.07, 1 F 3.00
Rb 0.1764 0.2500 0.5767  1 F 2.90, 7 O 3.13-3.21
Rb 0.3236 0.7500 0.0767  1 F 2.90, 7 O 3.13-3.21
Rb 0.4920 0.7500 0.7182  6 O 2.88-3.07, 1 F 3.00
Rb 0.5080 0.2500 0.2818  6 O 2.88-3.07, 1 F 3.00
Rb 0.6764 0.2500 0.9233  1 F 2.90, 7 O 3.13-3.21
Rb 0.8236 0.7500 0.4233  1 F 2.90, 7 O 3.13-3.21
Rb 0.9920 0.7500 0.7818  6 O 2.88-3.07, 1 F 3.00
P 0.2418 0.2500 0.9132  3 O 1.52-1.53, 1 F 1.68
P 0.2582 0.7500 0.4132  3 O 1.52-1.53, 1 F 1.68
P 0.7418 0.2500 0.5868  3 O 1.52-1.53, 1 F 1.68
P 0.7582 0.7500 0.0868  3 O 1.52-1.53, 1 F 1.68
O 0.1870 0.7500 0.5455  1 P 1.53
O 0.2314 0.5434 0.3399  1 P 1.52
O 0.2314 0.9566 0.3399  1 P 1.52
O 0.2686 0.0434 0.8399  1 P 1.52
O 0.2686 0.4566 0.8399  1 P 1.52
O 0.3130 0.2500 0.0455  1 P 1.53
O 0.6870 0.7500 0.9545  1 P 1.53
O 0.7314 0.5434 0.1601  1 P 1.52
O 0.7314 0.9566 0.1601  1 P 1.52
O 0.7686 0.0434 0.6601  1 P 1.52
O 0.7686 0.4566 0.6601  1 P 1.52
O 0.8130 0.2500 0.4545  1 P 1.53
F 0.0362 0.2500 0.9379  1 P 1.68
F 0.4638 0.7500 0.4379  1 P 1.68
F 0.5362 0.2500 0.5621  1 P 1.68
F 0.9638 0.7500 0.0621  1 P 1.68



[12]
Dy2Er2Pd: relaxed, GGA-PBE.

Summary:
Its volume is 29.3 A^3/atom. Its formation energy from the elements is -1.3 eV per formula unit.

Cell: 7.0119 7.0119 7.4017 Å, 104.53 104.53 114.55°
Last column: nearest neighbours and their distance in Å.
Sites, in units of the cell vectors:
Dy 0.1880 0.7555 0.7488  1 Pd 2.75
Dy 0.2445 0.8120 0.2512  1 Pd 2.75
Dy 0.7555 0.1880 0.7488  1 Pd 2.75
Dy 0.8120 0.2445 0.2512  1 Pd 2.75
Er 0.2409 0.2409 0.6177  2 Pd 2.86
Er 0.2529 0.2529 0.1100  2 Pd 2.97
Er 0.7471 0.7471 0.8900  2 Pd 2.97
Er 0.7591 0.7591 0.3823  2 Pd 2.86
Pd 0.3804 0.6196 0.5000  2 Dy 2.75, 1 Pd 2.82, 4 Er 2.86-2.97
Pd 0.6196 0.3804 0.5000  2 Dy 2.75, 1 Pd 2.82, 4 Er 2.86-2.97